Record 1
# TaPbW2

Crystalline TaPbW2 at its relaxed geometry (PBE, Alexandria).

Properties
calculated formation energy	0.5803	eV/atom

abc: 2.9638 4.3754 5.8828
angles: 90.00 95.42 90.00
Closest atoms and distances in Å follow each position.
Space group Pm (No. 6)
Unique sites:
Ta: 0.0000 0.0000 0.0000 x1  3 W 2.60-2.78
Pb: 0.4089 0.5000 0.7153 x1  6 W 2.91-3.23, 2 Pb 2.96, 4 Ta 3.07-3.18
W: 0.4193 0.5000 0.2205 x1  4 W 2.69-2.96, 2 Ta 2.78, 2 Pb 2.91-2.97
W: 0.8017 0.0000 0.4218 x1  1 Ta 2.60, 2 W 2.69


Record 2
# TaPbW2

Crystalline TaPbW2 at its relaxed geometry (PBE, Alexandria).

Properties
calculated formation energy	0.5812	eV/atom

abc: 3.4711 3.4711 6.1992
angles: 90.00 90.00 90.00
Closest atoms and distances in Å follow each position.
Space group P4mm (No. 99)
Unique sites:
Ta: 0.0000 0.0000 0.0000 x1  5 W 2.71-2.82, 4 Pb 3.02
Pb: 0.5000 0.5000 0.7174 x1  6 W 3.00-3.14, 4 Ta 3.02
W: 0.0000 0.0000 0.4379 x1  1 Ta 2.71, 4 W 2.79, 4 Pb 3.00
W: 0.5000 0.5000 0.2232 x1  4 W 2.79, 4 Ta 2.82, 1 Pb 3.06


Record 3
# TaPbW4

Crystalline TaPbW4 at its relaxed geometry (PBE, Alexandria).

Properties
calculated formation energy	0.4775	eV/atom

abc: 7.5997 7.5997 7.5997
angles: 90.00 90.00 90.00
Closest atoms and distances in Å follow each position.
Space group F-43m (No. 216)
Unique sites:
Ta: 0.0000 0.0000 0.0000 x4  12 W 3.15, 4 Pb 3.29
Pb: 0.2500 0.2500 0.2500 x4  12 W 3.15, 4 Ta 3.29
W: 0.1251 0.1251 0.6251 x16  6 W 2.68-2.69


Record 4
# TaPb2W

Crystalline TaPb2W at its relaxed geometry (PBE, Alexandria).

Properties
calculated formation energy	2.1919	eV/atom
ΔE to the lowest computed polymorph	7.22	eV per formula unit

abc: 6.4234 6.4234 12.8340
angles: 90.00 90.00 90.00
Closest atoms and distances in Å follow each position.
Space group I-42d (No. 122)
Unique sites:
Ta: 0.0000 0.0000 0.0000 x4  4 Pb 2.79
Pb: 0.2472 0.2500 0.6250 x8  2 W 2.77, 2 Ta 2.79
W: 0.0000 0.0000 0.5000 x4  4 Pb 2.77


Record 5
# TaPb2W

Crystalline TaPb2W at its relaxed geometry (PBE, Alexandria).

Properties
calculated formation energy	0.9907	eV/atom
ΔE to the lowest computed polymorph	2.41	eV per formula unit

abc: 3.2005 3.2005 28.2826
angles: 90.00 90.00 120.00
Closest atoms and distances in Å follow each position.
Space group R-3m (No. 166, hexagonal axes)
Unique sites:
Ta: 0.0000 0.0000 0.0000 x3  6 Pb 3.04, 6 Ta 3.20
Pb: 0.0000 0.0000 0.2479 x6  3 W 2.95, 3 Ta 3.04, 6 Pb 3.20
W: 0.0000 0.0000 0.5000 x3  6 Pb 2.95, 6 W 3.20


Record 6
# TaPb3W

Crystalline TaPb3W at its relaxed geometry (PBE, Alexandria).

Properties
calculated formation energy	1.7128	eV/atom
ΔE to the lowest computed polymorph	0.00	eV per formula unit

abc: 5.4734 5.4734 5.4734
angles: 90.00 90.00 90.00
Closest atoms and distances in Å follow each position.
Space group Pm-3m (No. 221)
Unique sites:
Ta: 0.0000 0.0000 0.0000 x1  6 Pb 2.74
Pb: 0.0000 0.0000 0.5000 x3  2 Ta 2.74
W: 0.5000 0.5000 0.5000 x1  12 Pb 3.87


Record 7
# TaPb2W

Crystalline TaPb2W at its relaxed geometry (PBE, Alexandria).

Properties
calculated formation energy	1.0169	eV/atom
ΔE to the lowest computed polymorph	2.52	eV per formula unit

abc: 6.8913 6.8913 6.8913
angles: 90.00 90.00 90.00
Closest atoms and distances in Å follow each position.
Space group Fm-3m (No. 225)
Unique sites:
Ta: 0.0000 0.0000 0.0000 x4  8 Pb 2.98
Pb: 0.2500 0.2500 0.2500 x8  4 Ta 2.98, 4 W 2.98
W: 0.0000 0.0000 0.5000 x4  8 Pb 2.98


Record 8
# TaPbW2

Crystalline TaPbW2 at its relaxed geometry (PBE, Alexandria).

Properties
calculated formation energy	1.2178	eV/atom

abc: 4.0348 4.0348 20.0645
angles: 90.00 90.00 90.00
Closest atoms and distances in Å follow each position.
Space group I-42d (No. 122)
Unique sites:
Ta: 0.0000 0.0000 0.0000 x4  4 W 2.83, 4 Pb 2.85
Pb: 0.0000 0.0000 0.5000 x4  4 Ta 2.85, 4 W 2.95
W: 0.2058 0.2500 0.1250 x8  2 W 2.61, 2 Ta 2.83


Record 9
# TaPbW2

Crystalline TaPbW2 at its relaxed geometry (PBE, Alexandria).

Properties
calculated formation energy	0.5088	eV/atom

abc: 3.3507 4.8626 9.2290
angles: 90.00 90.00 90.00
Closest atoms and distances in Å follow each position.
Space group Cmm2 (No. 35)
Unique sites:
Ta: 0.0000 0.0000 0.0000 x2  2 W 2.74, 4 Ta 2.95, 2 Pb 3.03
Pb: 0.0000 0.5000 0.7269 x2  4 Pb 2.95, 2 W 2.98, 2 Ta 3.03
W: 0.0000 0.0000 0.4600 x2  6 W 2.67-2.95, 2 Pb 2.98
W: 0.0000 0.5000 0.2352 x2  6 W 2.67-2.95, 2 Ta 2.74


Record 10
# TaPb2W

Crystalline TaPb2W at its relaxed geometry (PBE, Alexandria).

Properties
calculated formation energy	1.0023	eV/atom
ΔE to the lowest computed polymorph	2.46	eV per formula unit

abc: 3.5011 5.1501 9.3890
angles: 90.00 90.00 90.00
Closest atoms and distances in Å follow each position.
Space group Cmmm (No. 65)
Unique sites:
Ta: 0.0000 0.0000 0.0000 x2  4 Pb 2.96, 4 Ta 3.11
Pb: 0.0000 0.5000 0.2545 x4  2 W 2.89, 2 Ta 2.96, 4 Pb 3.11
W: 0.0000 0.0000 0.5000 x2  4 Pb 2.89, 4 W 3.11


Record 11
# TaPbW2

Crystalline TaPbW2 at its relaxed geometry (PBE, Alexandria).

Properties
calculated formation energy	0.6407	eV/atom

abc: 2.9023 4.7375 5.5074
angles: 90.00 94.14 90.00
Closest atoms and distances in Å follow each position.
Space group P2/m (No. 10)
Unique sites:
Ta: 0.0000 0.0000 0.0000 x1  4 W 2.85, 2 Ta 2.90, 2 Pb 3.02
Pb: 0.5000 0.0000 0.5000 x1  4 W 2.89, 2 Pb 2.90, 4 Ta 3.02-3.20
W: 0.3221 0.5000 0.7794 x2  1 W 2.57, 2 Ta 2.85


Record 12
# TaPb2W

Crystalline TaPb2W at its relaxed geometry (PBE, Alexandria).

Properties
calculated formation energy	1.1738	eV/atom
ΔE to the lowest computed polymorph	3.14	eV per formula unit

abc: 3.0768 4.5317 6.1300
angles: 90.00 90.00 90.00
Closest atoms and distances in Å follow each position.
Space group Pmmm (No. 47)
Unique sites:
Ta: 0.0000 0.0000 0.0000 x1  2 W 3.07, 2 Ta 3.08, 8 Pb 3.15
Pb: 0.5000 0.5000 0.2530 x2  4 Pb 3.03-3.10, 4 W 3.13, 4 Ta 3.15
W: 0.0000 0.0000 0.5000 x1  2 Ta 3.07, 2 W 3.08, 8 Pb 3.13


| no. | VASP energy (eV per atom) |
| --- | --- |
| 1 | -9.787 |
| 2 | -9.786 |
| 3 | -10.751 |
| 4 | -5.864 |
| 5 | -7.065 |
| 6 | -5.473 |
| 7 | -7.039 |
| 8 | -9.149 |
| 9 | -9.858 |
| 10 | -7.053 |
| 11 | -9.726 |
| 12 | -6.882 |